DFT (GGA-PBE) results for crystalline SiSbAsSe2 at its relaxed geometry.

extended XYZ file:
```
5
Lattice="4.844 0.000 0.000 0.000 4.844 0.000 0.000 0.000 4.842" Properties=species:S:1:pos:R:3 pbc="T T T"
Si 0.000 0.000 0.000
Sb 2.422 2.422 2.421
As 0.000 0.000 2.421
Se 0.000 2.422 0.000
Se 2.422 0.000 0.000
```

Results
The calculation puts the formation energy from raw total energies at 0.35 eV/atom. As for the crystal system: tetragonal. Its calculated total energy is -0.143 Ha/atom. The value obtained for the density of states at the Fermi level is 0.368 states/eV per atom. The relative energy among the computed polymorphs is 0.00 eV per formula unit. Its space group is P4/mmm, No. 123.

DFT (GGA-PBE) results for crystalline PmEuSnSb at its relaxed geometry.

extended XYZ file:
```
16
Lattice="7.807 0.000 0.000 0.000 7.807 0.000 0.000 0.000 7.807" Properties=species:S:1:pos:R:3 pbc="T T T"
Pm 0.000 0.000 0.000
Pm 0.000 3.904 3.904
Pm 3.904 0.000 3.904
Pm 3.904 3.904 0.000
Eu 0.000 0.000 3.904
Eu 0.000 3.904 0.000
Eu 3.904 0.000 0.000
Eu 3.904 3.904 3.904
Sn 1.952 1.952 1.952
Sn 1.952 5.855 5.855
Sn 5.855 1.952 5.855
Sn 5.855 5.855 1.952
Sb 1.952 1.952 5.855
Sb 1.952 5.855 1.952
Sb 5.855 1.952 1.952
Sb 5.855 5.855 5.855
```

Results
The calculation puts the formation energy from raw total energies at -0.68 eV/atom. As for the crystal system: cubic. Its calculated total energy is -0.238 Ha/atom. The value obtained for the density of states at the Fermi level is 1.062 states/eV per atom. Its space group is F-43m, No. 216.

DFT (GGA-PBE) results for crystalline K2CuW at its relaxed geometry.

extended XYZ file:
```
16
Lattice="8.153 0.000 0.000 0.000 8.153 0.000 0.000 0.000 8.153" Properties=species:S:1:pos:R:3 pbc="T T T"
K 2.038 2.038 2.038
K 2.038 2.038 6.115
K 2.038 6.115 2.038
K 2.038 6.115 6.115
K 6.115 2.038 2.038
K 6.115 2.038 6.115
K 6.115 6.115 2.038
K 6.115 6.115 6.115
Cu 0.000 0.000 0.000
Cu 0.000 4.077 4.077
Cu 4.077 0.000 4.077
Cu 4.077 4.077 0.000
W 0.000 0.000 4.077
W 0.000 4.077 0.000
W 4.077 0.000 0.000
W 4.077 4.077 4.077
```

Results
As for the crystal system: cubic. Its calculated total energy is -0.112 Ha/atom. The formation energy from the elements is 678 kJ/mol of formula units. The value obtained for the density of states at the Fermi level is 0.179 states/eV per atom. The relative energy among the computed polymorphs is 3.18 eV per formula unit. Its space group is Fm-3m, No. 225.

DFT (GGA-PBE) results for crystalline YPuHg4 at its relaxed geometry.

extended XYZ file:
```
12
Lattice="5.036 0.000 0.000 0.000 6.771 0.000 0.000 0.000 8.673" Properties=species:S:1:pos:R:3 pbc="T T T"
Y 0.000 0.000 0.000
Y 2.518 3.385 4.336
Pu 0.000 3.385 0.000
Pu 2.518 0.000 4.336
Hg 0.000 1.688 2.889
Hg 0.000 1.688 5.783
Hg 0.000 5.083 2.889
Hg 0.000 5.083 5.783
Hg 2.518 1.698 1.447
Hg 2.518 1.698 7.226
Hg 2.518 5.073 1.447
Hg 2.518 5.073 7.226
```

Results
As for the crystal system: orthorhombic. Its calculated total energy is -0.144 Ha/atom. The formation energy from the elements is -152 kJ/mol of formula units. The value obtained for the density of states at the Fermi level is 2.211 states/eV per atom. The relative energy among the computed polymorphs is 0.10 eV per formula unit. Its space group is Immm, No. 71.

DFT (GGA-PBE) results for crystalline Mn2NiHg at its relaxed geometry.

extended XYZ file:
```
8
Lattice="3.933 0.000 0.000 0.000 3.933 0.000 0.000 0.000 7.813" Properties=species:S:1:pos:R:3 pbc="T T T"
Mn 0.000 0.000 0.000
Mn 0.000 1.966 1.953
Mn 1.966 0.000 5.860
Mn 1.966 1.966 3.906
Ni 0.000 1.966 5.860
Ni 1.966 0.000 1.953
Hg 0.000 0.000 3.906
Hg 1.966 1.966 0.000
```

Results
As for the crystal system: tetragonal. Its calculated total energy is -0.215 Ha/atom. The formation energy from the elements is 102 kJ/mol of formula units. The value obtained for the density of states at the Fermi level is 0.550 states/eV per atom. Its space group is I-4m2, No. 119.

DFT (GGA-PBE) results for crystalline ZnReSi at its relaxed geometry.

extended XYZ file:
```
12
Lattice="5.716 0.000 0.000 0.000 5.716 0.000 0.000 0.000 5.716" Properties=species:S:1:pos:R:3 pbc="T T T"
Zn 0.000 0.000 0.000
Zn 0.000 2.858 2.858
Zn 2.858 0.000 2.858
Zn 2.858 2.858 0.000
Re 0.000 0.000 2.858
Re 0.000 2.858 0.000
Re 2.858 0.000 0.000
Re 2.858 2.858 2.858
Si 1.429 1.429 1.429
Si 1.429 4.287 4.287
Si 4.287 1.429 4.287
Si 4.287 4.287 1.429
```

Results
The calculation puts the formation energy from raw total energies at 0.29 eV/atom. As for the crystal system: cubic. Its calculated total energy is -0.224 Ha/atom. The value obtained for the density of states at the Fermi level is 1.038 states/eV per atom. The relative energy among the computed polymorphs is 0.71 eV per formula unit. Its space group is F-43m, No. 216.

DFT (GGA-PBE) results for crystalline LiPmNdSc at its relaxed geometry.

extended XYZ file:
```
16
Lattice="7.704 0.000 0.000 0.000 7.704 0.000 0.000 0.000 7.704" Properties=species:S:1:pos:R:3 pbc="T T T"
Li 0.000 0.000 0.000
Li 0.000 3.852 3.852
Li 3.852 0.000 3.852
Li 3.852 3.852 0.000
Pm 1.926 1.926 5.778
Pm 1.926 5.778 1.926
Pm 5.778 1.926 1.926
Pm 5.778 5.778 5.778
Nd 1.926 1.926 1.926
Nd 1.926 5.778 5.778
Nd 5.778 1.926 5.778
Nd 5.778 5.778 1.926
Sc 0.000 0.000 3.852
Sc 0.000 3.852 0.000
Sc 3.852 0.000 0.000
Sc 3.852 3.852 3.852
```

Results
As for the crystal system: cubic. Its calculated total energy is -0.158 Ha/atom. The formation energy from the elements is 53 kJ/mol of formula units. The value obtained for the density of states at the Fermi level is 0.943 states/eV per atom. Its space group is F-43m, No. 216.

DFT (GGA-PBE) results for crystalline PIr3Br at its relaxed geometry.

extended XYZ file:
```
5
Lattice="4.629 0.000 0.000 0.000 4.629 0.000 0.000 0.000 4.629" Properties=species:S:1:pos:R:3 pbc="T T T"
P 0.000 0.000 0.000
Ir 0.000 2.315 2.315
Ir 2.315 0.000 2.315
Ir 2.315 2.315 0.000
Br 2.315 2.315 2.315
```

Results
The calculation puts the formation energy from raw total energies at 2.17 eV/atom. As for the crystal system: cubic. Its calculated total energy is -0.168 Ha/atom. The value obtained for the density of states at the Fermi level is 1.725 states/eV per atom. The relative energy among the computed polymorphs is 5.93 eV per formula unit. Its space group is Pm-3m, No. 221.

DFT (GGA-PBE) results for crystalline Pr5Zn2Pb at its relaxed geometry.

extended XYZ file:
```
16
Lattice="-4.282 4.282 6.573 4.282 -4.282 6.573 4.282 4.282 -6.573" Properties=species:S:1:pos:R:3 pbc="T T T"
Pr 0.000 0.000 0.000
Pr 5.590 1.308 -1.899
Pr 1.308 2.974 -1.899
Pr 5.590 1.308 1.899
Pr 1.308 2.974 1.899
Pr 0.000 0.000 6.573
Pr 2.974 1.308 4.674
Pr -1.308 2.974 4.674
Pr 2.974 1.308 8.472
Pr -1.308 2.974 8.472
Zn 3.059 1.223 0.000
Zn 3.059 -1.223 6.573
Zn 1.223 5.505 0.000
Zn 1.223 3.059 6.573
Pb 0.000 0.000 3.286
Pb 0.000 0.000 9.859
```

Results
As for the crystal system: tetragonal. Its calculated total energy is -0.150 Ha/atom. The formation energy from the elements is -236 kJ/mol of formula units. The value obtained for the density of states at the Fermi level is 1.159 states/eV per atom. Its space group is I4/mcm, No. 140.

DFT (GGA-PBE) results for crystalline AcRhPb2 at its relaxed geometry.

extended XYZ file:
```
16
Lattice="4.615 0.000 0.000 0.000 11.494 0.000 0.000 0.000 8.145" Properties=species:S:1:pos:R:3 pbc="T T T"
Ac 0.000 0.804 2.036
Ac 0.000 10.690 6.109
Ac 2.308 4.943 6.109
Ac 2.308 6.551 2.036
Rh 0.000 2.367 6.109
Rh 0.000 9.127 2.036
Rh 2.308 3.380 2.036
Rh 2.308 8.114 6.109
Pb 0.000 4.066 0.392
Pb 0.000 4.066 3.680
Pb 0.000 7.428 4.465
Pb 0.000 7.428 7.753
Pb 2.308 1.681 4.465
Pb 2.308 1.681 7.753
Pb 2.308 9.813 0.392
Pb 2.308 9.813 3.680
```

Results
As for the crystal system: orthorhombic. Its calculated total energy is -0.191 Ha/atom. The formation energy from the elements is -182 kJ/mol of formula units. The value obtained for the density of states at the Fermi level is 0.449 states/eV per atom. The relative energy among the computed polymorphs is 0.00 eV per formula unit. Its space group is Cmcm, No. 63.